No. 1
# Rb3CdCl6

An optimized crystal structure of Rb3CdCl6 (PBE, the Alexandria database).

Lattice parameters (Å, degrees): 8.0149 8.0149 8.0149 60.00 60.00 60.00
Positions (direct):
Rb  0.0000  0.0000  0.0000
Rb  0.2500  0.2500  0.2500
Rb  0.7500  0.7500  0.7500
Cd  0.5000  0.5000  0.5000
Cl  0.2711  0.2711  0.7289
Cl  0.2711  0.7289  0.2711
Cl  0.2711  0.7289  0.7289
Cl  0.7289  0.2711  0.2711
Cl  0.7289  0.2711  0.7289
Cl  0.7289  0.7289  0.2711

Energy above the most stable polymorph in this dataset = 0.092 eV per atom
SG = Fm-3m (225)

***

No. 2
# RbCdCl2

An optimized crystal structure of RbCdCl2 (PBE, the Alexandria database).

Lattice parameters (Å, degrees): 5.4443 5.4443 5.4443 60.00 60.00 60.00
Positions (direct):
Rb  0.0000  0.0000  0.0000
Cd  0.5000  0.5000  0.5000
Cl  0.2500  0.2500  0.2500
Cl  0.7500  0.7500  0.7500

Energy above the most stable polymorph in this dataset = 0.103 eV per atom
SG = Fm-3m (225)

***

No. 3
# Rb3Cd2Cl8

An optimized crystal structure of Rb3Cd2Cl8 (PBE, the Alexandria database).

Lattice parameters (Å, degrees): 10.4214 10.4214 10.4214 41.29 41.29 41.29
Positions (direct):
Rb  0.0000  0.0000  0.0000
Rb  0.2035  0.2035  0.2035
Rb  0.7965  0.7965  0.7965
Cd  0.4016  0.4016  0.4016
Cd  0.5984  0.5984  0.5984
Cl  0.2056  0.7423  0.7423
Cl  0.2577  0.2577  0.7944
Cl  0.2577  0.7944  0.2577
Cl  0.3161  0.3161  0.3161
Cl  0.6839  0.6839  0.6839
Cl  0.7423  0.2056  0.7423
Cl  0.7423  0.7423  0.2056
Cl  0.7944  0.2577  0.2577

SG = R-3m (166)

***

No. 4
# Rb12Cd3Cl5

An optimized crystal structure of Rb12Cd3Cl5 (PBE, the Alexandria database).

Lattice parameters (Å, degrees): 18.0374 18.0374 18.0374 109.47 109.47 109.47
Positions (direct):
Rb  0.0310  0.2072  0.1227
Rb  0.0310  0.3238  0.9083
Rb  0.0845  0.7072  0.6762
Rb  0.0845  0.8773  0.4083
Rb  0.0917  0.6227  0.4155
Rb  0.0917  0.9690  0.6762
Rb  0.1227  0.0310  0.2072
Rb  0.1227  0.5917  0.9155
Rb  0.1762  0.2072  0.5845
Rb  0.1762  0.4690  0.5917
Rb  0.2072  0.1227  0.0310
Rb  0.2072  0.5845  0.1762
Rb  0.2928  0.3238  0.9155
Rb  0.2928  0.4690  0.3773
Rb  0.3238  0.9083  0.0310
Rb  0.3238  0.9155  0.2928
Rb  0.3773  0.2928  0.4690
Rb  0.3773  0.5845  0.9083
Rb  0.4083  0.0845  0.8773
Rb  0.4083  0.8238  0.5310
Rb  0.4155  0.0917  0.6227
Rb  0.4155  0.8238  0.7928
Rb  0.4690  0.3773  0.2928
Rb  0.4690  0.5917  0.1762
Rb  0.5310  0.4083  0.8238
Rb  0.5310  0.6227  0.7072
Rb  0.5845  0.1762  0.2072
Rb  0.5845  0.9083  0.3773
Rb  0.5917  0.1762  0.4690
Rb  0.5917  0.9155  0.1227
Rb  0.6227  0.4155  0.0917
Rb  0.6227  0.7072  0.5310
Rb  0.6762  0.0845  0.7072
Rb  0.6762  0.0917  0.9690
Rb  0.7072  0.5310  0.6227
Rb  0.7072  0.6762  0.0845
Rb  0.7928  0.4155  0.8238
Rb  0.7928  0.8773  0.9690
Rb  0.8238  0.5310  0.4083
Rb  0.8238  0.7928  0.4155
Rb  0.8773  0.4083  0.0845
Rb  0.8773  0.9690  0.7928
Rb  0.9083  0.0310  0.3238
Rb  0.9083  0.3773  0.5845
Rb  0.9155  0.1227  0.5917
Rb  0.9155  0.2928  0.3238
Rb  0.9690  0.6762  0.0917
Rb  0.9690  0.7928  0.8773
Cd  0.1250  0.2500  0.3750
Cd  0.1250  0.3750  0.7500
Cd  0.2500  0.3750  0.1250
Cd  0.2500  0.8750  0.6250
Cd  0.3750  0.1250  0.2500
Cd  0.3750  0.7500  0.1250
Cd  0.6250  0.2500  0.8750
Cd  0.6250  0.8750  0.7500
Cd  0.7500  0.1250  0.3750
Cd  0.7500  0.6250  0.8750
Cd  0.8750  0.6250  0.2500
Cd  0.8750  0.7500  0.6250
Cl  0.0000  0.0000  0.0000
Cl  0.0000  0.0000  0.5000
Cl  0.0000  0.5000  0.0000
Cl  0.0000  0.5000  0.5000
Cl  0.1250  0.7500  0.8750
Cl  0.1250  0.8750  0.2500
Cl  0.2500  0.1250  0.8750
Cl  0.2500  0.6250  0.3750
Cl  0.3750  0.2500  0.6250
Cl  0.3750  0.6250  0.7500
Cl  0.5000  0.0000  0.0000
Cl  0.5000  0.0000  0.5000
Cl  0.5000  0.5000  0.0000
Cl  0.5000  0.5000  0.5000
Cl  0.6250  0.3750  0.2500
Cl  0.6250  0.7500  0.3750
Cl  0.7500  0.3750  0.6250
Cl  0.7500  0.8750  0.1250
Cl  0.8750  0.1250  0.7500
Cl  0.8750  0.2500  0.1250

SG = Ia-3d (230)

***

No. 5
# Rb4CdCl6

An optimized crystal structure of Rb4CdCl6 (PBE, the Alexandria database).

Lattice parameters (Å, degrees): 9.0236 9.0236 9.0236 89.25 89.25 89.25
Positions (direct):
Rb  0.1262  0.7500  0.3738
Rb  0.2500  0.2500  0.2500
Rb  0.2500  0.6262  0.8738
Rb  0.3738  0.1262  0.7500
Rb  0.6262  0.8738  0.2500
Rb  0.7500  0.3738  0.1262
Rb  0.7500  0.7500  0.7500
Rb  0.8738  0.2500  0.6262
Cd  0.0000  0.0000  0.0000
Cd  0.5000  0.5000  0.5000
Cl  0.0583  0.9311  0.7154
Cl  0.0689  0.2846  0.9417
Cl  0.2154  0.4311  0.5583
Cl  0.2846  0.9417  0.0689
Cl  0.4311  0.5583  0.2154
Cl  0.4417  0.7846  0.5689
Cl  0.5583  0.2154  0.4311
Cl  0.5689  0.4417  0.7846
Cl  0.7154  0.0583  0.9311
Cl  0.7846  0.5689  0.4417
Cl  0.9311  0.7154  0.0583
Cl  0.9417  0.0689  0.2846

Energy above the most stable polymorph in this dataset = 0.000 eV per atom
SG = R-3c (167)

***

No. 6
# Rb5CdCl8

An optimized crystal structure of Rb5CdCl8 (PBE, the Alexandria database).

Lattice parameters (Å, degrees): 8.5833 8.5833 8.5833 112.53 112.53 103.52
Positions (direct):
Rb  0.0000  0.0000  0.0000
Rb  0.2453  0.6381  0.1244
Rb  0.3619  0.4863  0.6073
Rb  0.5137  0.1209  0.8756
Rb  0.8791  0.7547  0.3927
Cd  0.7500  0.2500  0.5000
Cl  0.0589  0.2419  0.6935
Cl  0.1653  0.7523  0.7711
Cl  0.2477  0.0188  0.4130
Cl  0.5483  0.3654  0.3065
Cl  0.6058  0.8347  0.5870
Cl  0.6346  0.9411  0.1829
Cl  0.7581  0.4517  0.8171
Cl  0.9812  0.3942  0.2289

SG = I-4 (82)

***

No. 7
# RbCd3Cl

An optimized crystal structure of RbCd3Cl (PBE, the Alexandria database).

Lattice parameters (Å, degrees): 6.9098 6.9098 6.9098 90.00 90.00 90.00
Positions (direct):
Rb  0.0000  0.0000  0.0000
Cd  0.0000  0.0000  0.5000
Cd  0.0000  0.5000  0.0000
Cd  0.5000  0.0000  0.0000
Cl  0.5000  0.5000  0.5000

Energy above the most stable polymorph in this dataset = 0.218 eV per atom
SG = Pm-3m (221)

***

No. 8
# RbCdRe2Cl

An optimized crystal structure of RbCdRe2Cl (PBE, the Alexandria database).

Lattice parameters (Å, degrees): 4.4811 4.4811 5.6251 90.00 90.00 90.00
Positions (direct):
Rb  0.0000  0.0000  0.0000
Cd  0.5000  0.5000  0.0000
Re  0.0000  0.5000  0.5000
Re  0.5000  0.0000  0.5000
Cl  0.0000  0.0000  0.5000

SG = P4/mmm (123)

***

No. 9
# RbCdS2Cl

An optimized crystal structure of RbCdS2Cl (PBE, the Alexandria database).

Lattice parameters (Å, degrees): 6.3817 6.3817 6.1104 90.00 90.00 90.00
Positions (direct):
Rb  0.0000  0.0000  0.0000
Cd  0.5000  0.5000  0.5000
S  0.0000  0.5000  0.0000
S  0.5000  0.0000  0.0000
Cl  0.0000  0.0000  0.5000

Energy above the most stable polymorph in this dataset = 1.029 eV per atom
SG = P4/mmm (123)

***

No. 10
# RbCdSCl

An optimized crystal structure of RbCdSCl (PBE, the Alexandria database).

Lattice parameters (Å, degrees): 8.3972 8.3972 8.3972 29.25 29.25 29.25
Positions (direct):
Rb  0.0000  0.0000  0.0000
Cd  0.8542  0.8542  0.8542
S  0.2252  0.2252  0.2252
Cl  0.7478  0.7478  0.7478

SG = R3m (160)

***

No. 11
# RbCdS2Cl

An optimized crystal structure of RbCdS2Cl (PBE, the Alexandria database).

Lattice parameters (Å, degrees): 5.0480 5.0480 5.7286 90.00 90.00 90.00
Positions (direct):
Rb  0.0000  0.0000  0.0000
Cd  0.5000  0.5000  0.5000
S  0.0000  0.5000  0.5000
S  0.5000  0.0000  0.5000
Cl  0.5000  0.5000  0.0000

Energy above the most stable polymorph in this dataset = 0.000 eV per atom
SG = P4/mmm (123)

***

No. 12
# RbCdSCl2

An optimized crystal structure of RbCdSCl2 (PBE, the Alexandria database).

Lattice parameters (Å, degrees): 5.4252 5.4252 5.0809 90.00 90.00 90.00
Positions (direct):
Rb  0.0000  0.0000  0.0000
Cd  0.5000  0.5000  0.5000
S  0.5000  0.5000  0.0000
Cl  0.0000  0.5000  0.5000
Cl  0.5000  0.0000  0.5000

Energy above the most stable polymorph in this dataset = 0.000 eV per atom
SG = P4/mmm (123)

***

Number 1: Fermi-level density of states 8.6 states/eV per cell, calculated total energy -2.8584 eV per atom. Number 2: Fermi-level density of states 2.2 states/eV per cell, calculated total energy -2.4201 eV per atom. Number 3: Fermi-level density of states 15.8 states/eV per cell, calculated total energy -2.8376 eV per atom. Number 4: Fermi-level density of states 58.2 states/eV per cell, calculated total energy -2.0354 eV per atom. Number 5: Fermi-level density of states 0.0 states/eV per cell, calculated total energy -3.1794 eV per atom. Number 6: Fermi-level density of states 12.3 states/eV per cell, calculated total energy -3.0027 eV per atom. Number 7: Fermi-level density of states 0.0 states/eV per cell, calculated total energy -0.9513 eV per atom. Number 8: Fermi-level density of states 3.7 states/eV per cell, calculated total energy -4.0942 eV per atom. Number 9: Fermi-level density of states 6.3 states/eV per cell, calculated total energy -1.8180 eV per atom. Number 10: Fermi-level density of states 0.0 states/eV per cell, calculated total energy -3.1011 eV per atom. Number 11: Fermi-level density of states 6.4 states/eV per cell, calculated total energy -2.8466 eV per atom. Number 12: Fermi-level density of states 4.6 states/eV per cell, calculated total energy -2.8410 eV per atom.